Model 1:
This record from Alexandria describes a geometry-optimized SrSc2Au structure. The functional is PBE-GGA.

Results
crystal system: cubic
volume: 95.6 Å³/f.u.
symmetry: Fm-3m (225)

Lattice parameters (Å, degrees): 5.132 5.132 5.132 60.00 60.00 60.00
Element x y z (fractional)
Sc: 0.750 0.750 0.750
Sc: 0.250 0.250 0.250
Au: 0.500 0.500 0.500
Sr: 0.000 0.000 0.000

***

Model 2:
This record from Alexandria describes a geometry-optimized SrSc2Au structure. The functional is PBE-GGA.

Results
crystal system: tetragonal
volume: 111.6 Å³/f.u.
symmetry: P4/mmm (123)

Lattice parameters (Å, degrees): 3.496 3.496 9.132 90.00 90.00 90.00
Element x y z (fractional)
Sc: 0.000 0.000 0.923
Sc: 0.000 0.000 0.577
Au: 0.500 0.500 0.750
Sr: 0.500 0.500 0.250

***

Short version: model 2 is the most stable of them.